# CuPtBr2

Crystalline CuPtBr2 at its relaxed geometry (PBE-GGA, Alexandria via LeMat-Bulk).

abc: 4.144 4.144 7.383
angles: 90.00 90.00 129.52
Positions (direct):
Br (0.000, 0.000, 0.006)
Br (0.000, 0.000, 0.494)
Cu (0.500, 0.500, 0.250)
Pt (0.500, 0.500, 0.750)

Output
Raw formation energy = 0.319 eV/atom
Volume = 97.8 Å³/f.u.
Total DFT energy (no corrections) = -12.2 eV for the cell shown
E above lowest polymorph = 275.1 meV per atom
Size of the total moment = 0.00 μB per atom

# Al2OsSe

Crystalline Al2OsSe at its relaxed geometry (PBE-GGA, Alexandria via LeMat-Bulk).

abc: 5.793 5.793 6.945
angles: 65.35 65.35 90.00
Positions (direct):
Os (0.000, 0.000, 0.000)
Os (0.750, 0.250, 0.500)
Al (0.644, 0.125, 0.250)
Al (0.106, 0.625, 0.250)
Al (0.375, 0.356, 0.750)
Al (0.875, 0.894, 0.750)
Se (0.500, 0.500, 0.000)
Se (0.250, 0.750, 0.500)

Output
Raw formation energy = 0.341 eV/atom
Volume = 94.1 Å³/f.u.
Total DFT energy (no corrections) = -41.7 eV for the cell shown
Size of the total moment = 0.00 μB per atom

# TiAl2Tc

Crystalline TiAl2Tc at its relaxed geometry (PBE-GGA, Alexandria via LeMat-Bulk).

abc: 3.733 3.733 9.836
angles: 79.06 79.06 90.00
Positions (direct):
Al (0.630, 0.125, 0.250)
Al (0.120, 0.625, 0.250)
Al (0.375, 0.370, 0.750)
Al (0.875, 0.880, 0.750)
Tc (0.000, 0.000, 0.000)
Tc (0.750, 0.250, 0.500)
Ti (0.500, 0.500, 0.000)
Ti (0.250, 0.750, 0.500)

Output
Energy of formation = 0.042 eV per atom
Volume = 66.0 Å³/f.u.
Total DFT energy (no corrections) = -51.2 eV for the cell shown
E above lowest polymorph = 442.8 meV per atom
Size of the total moment = 0.00 μB per atom

# Na2PH

Crystalline Na2PH at its relaxed geometry (PBE-GGA, Alexandria via LeMat-Bulk).

abc: 4.714 4.714 4.714
angles: 60.00 60.00 60.00
Each line ends with the local moment (μB).
Positions (direct):
P (0.500, 0.500, 0.500)  0.18
H (0.000, 0.000, 0.000)  0.00
Na (0.250, 0.250, 0.250)  0.00
Na (0.750, 0.750, 0.750)  0.00

Output
Volume = 74.1 Å³/f.u.
Total DFT energy (no corrections) = -10.0 eV for the cell shown
E above lowest polymorph = 571.3 meV per atom
Size of the total moment = 0.11 μB per atom

# Sr5Li4In

Crystalline Sr5Li4In at its relaxed geometry (PBE-GGA, Alexandria via LeMat-Bulk).

abc: 4.209 4.209 20.766
angles: 90.00 90.00 90.00
Positions (direct):
Sr (0.500, 0.500, 0.092)
Sr (0.500, 0.500, 0.297)
Sr (0.500, 0.500, 0.500)
Sr (0.500, 0.500, 0.703)
Sr (0.500, 0.500, 0.908)
Li (0.000, 0.000, 0.193)
Li (0.000, 0.000, 0.399)
Li (0.000, 0.000, 0.601)
Li (0.000, 0.000, 0.807)
In (0.000, 0.000, 0.000)

Output
Energy of formation = -0.072 eV per atom
Volume = 367.9 Å³/f.u.
Total DFT energy (no corrections) = -19.5 eV for the cell shown
Size of the total moment = 0.00 μB per atom

# SmDy4Pb5

Crystalline SmDy4Pb5 at its relaxed geometry (PBE-GGA, Alexandria via LeMat-Bulk).

abc: 6.314 7.735 7.735
angles: 80.41 65.91 65.91
Positions (direct):
Sm (0.000, 0.000, 0.000)
Dy (0.399, 0.401, 0.803)
Dy (0.800, 0.803, 0.599)
Dy (0.202, 0.197, 0.401)
Dy (0.603, 0.599, 0.197)
Pb (0.902, 0.403, 0.796)
Pb (0.305, 0.796, 0.597)
Pb (0.698, 0.204, 0.403)
Pb (0.101, 0.597, 0.204)
Pb (0.500, 0.000, 0.000)

Output
Energy of formation = -0.341 eV per atom
Volume = 314.8 Å³/f.u.
Total DFT energy (no corrections) = -45.1 eV for the cell shown
E above lowest polymorph = 105.2 meV per atom
Size of the total moment = 0.00 μB per atom